{
  "formula": "NpIrPdAu",
  "functional": "PBE-GGA",
  "state": "optimized geometry",
  "ef_ev_per_atom": -0.1799,
  "lattice_angstrom": [[0.0000, 3.3240, 3.3240], [3.3240, 0.0000, 3.3240], [3.3240, 3.3240, 0.0000]],
  "species": ["Np", "Ir", "Pd", "Au"],
  "frac_coords": [[0.0000, 0.0000, 0.0000], [0.7500, 0.7500, 0.7500], [0.2500, 0.2500, 0.2500], [0.5000, 0.5000, 0.5000]]
}

***

{
  "formula": "LaCe3Rh",
  "functional": "PBE-GGA",
  "state": "optimized geometry",
  "ef_ev_per_atom": -0.2635,
  "e_above_lowest_polymorph_mev_per_atom": 0,
  "lattice_angstrom": [[5.9511, 0.0000, 0.0000], [0.0000, 6.5553, 0.0000], [-0.4906, 0.0000, 6.7706]],
  "species": ["La", "La", "Ce", "Ce", "Ce", "Ce", "Ce", "Ce", "Rh", "Rh"],
  "frac_coords": [[0.1222, 0.2500, 0.3856], [0.8778, 0.7500, 0.6144], [0.0498, 0.7500, 0.0942], [0.4272, 0.5103, 0.8037], [0.4272, 0.9897, 0.8037], [0.5728, 0.0103, 0.1963], [0.5728, 0.4897, 0.1963], [0.9502, 0.2500, 0.9058], [0.3030, 0.7500, 0.4378], [0.6970, 0.2500, 0.5622]]
}

***

{
  "formula": "NaHgTeI2",
  "functional": "PBE-GGA",
  "state": "optimized geometry",
  "raw_formation_energy_mev_per_atom": -182,
  "e_above_lowest_polymorph_mev_per_atom": 0,
  "lattice_angstrom": [[6.1042, 0.0000, 0.0000], [0.0000, 6.1042, 0.0000], [0.0000, 0.0000, 5.6390]],
  "species": ["Na", "Hg", "Te", "I", "I"],
  "frac_coords": [[0.0000, 0.0000, 0.0000], [0.5000, 0.5000, 0.5000], [0.5000, 0.5000, 0.0000], [0.0000, 0.5000, 0.5000], [0.5000, 0.0000, 0.5000]]
}

***

{
  "formula": "YOs2Cl",
  "functional": "PBE-GGA",
  "state": "optimized geometry",
  "raw_formation_energy_mev_per_atom": 628,
  "e_above_lowest_polymorph_mev_per_atom": 847,
  "lattice_angstrom": [[2.4750, -5.2563, 0.0000], [2.4750, 5.2563, 0.0000], [0.0000, 0.0000, 2.9867]],
  "species": ["Y", "Os", "Os", "Cl"],
  "frac_coords": [[0.0000, 0.0000, 0.0000], [0.0000, 0.5000, 0.5000], [0.5000, 0.0000, 0.5000], [0.5000, 0.5000, 0.0000]]
}

***

What did we get for N(E_F)? Answer: 7.0; 22.6; 5.7; 4.9 states/eV/cell, in the order shown.
What did we get for total magnetization? Answer: 3.13; 0.00; 0.39; 0.00 μB per formula unit, in the order shown.
What did we get for E_tot? Answer: -7.75; -6.28; -1.75; -7.06 eV per atom, in the order shown.